1.
Zr3InHg3: relaxed, PBE-GGA.

a b c (Å): 8.481 8.481 5.028
angles (deg): 90.00 90.00 120.00
Sites, in units of the cell vectors:
Zr: 0.104 0.640 0.250
Zr: 0.360 0.464 0.250
Zr: 0.464 0.104 0.750
Zr: 0.536 0.896 0.250
Zr: 0.640 0.536 0.750
Zr: 0.896 0.360 0.750
In: 0.333 0.667 0.750
In: 0.667 0.333 0.250
Hg: 0.042 0.797 0.750
Hg: 0.203 0.245 0.750
Hg: 0.245 0.042 0.250
Hg: 0.755 0.958 0.750
Hg: 0.797 0.755 0.250
Hg: 0.958 0.203 0.250

Output
The space-group type is P6_3/m. For the formation enthalpy at 0 K, the calculation gives -0.13 eV per atom. As for the total DFT energy (no corrections): -4.309 eV per atom. The value obtained for the total magnetization is 0.000 μB per formula unit. As for the density of states at the Fermi level: 6.11 states/eV/f.u.

=====

2.
ScAl2Si: relaxed, PBE-GGA.

a b c (Å): 2.923 4.596 5.207
angles (deg): 90.00 90.13 90.00
Sites, in units of the cell vectors:
Sc: 0.000 0.000 0.000
Al: 0.498 0.500 0.752
Al: 0.502 0.500 0.248
Si: 0.500 0.000 0.500

Output
The space-group type is P2/m. As for the total DFT energy (no corrections): -5.052 eV per atom. The value obtained for the total magnetization is 0.000 μB per formula unit. As for the density of states at the Fermi level: 2.25 states/eV/f.u.

=====

3.
SmErTe2O: relaxed, PBE-GGA.

a b c (Å): 4.171 4.171 15.678
angles (deg): 90.00 90.00 90.00
Sites, in units of the cell vectors:
Sm: 0.250 0.250 0.069
Sm: 0.750 0.750 0.931
Er: 0.250 0.250 0.630
Er: 0.750 0.750 0.370
Te: 0.250 0.250 0.416
Te: 0.250 0.250 0.811
Te: 0.750 0.750 0.189
Te: 0.750 0.750 0.584
O: 0.250 0.750 0.000
O: 0.750 0.250 0.000

Output
The space-group type is P4/nmm. As for the total DFT energy (no corrections): -6.160 eV per atom. The value obtained for the total magnetization is 0.000 μB per formula unit. As for the density of states at the Fermi level: 1.45 states/eV/f.u.

=====

4.
AcTbRu: relaxed, PBE-GGA.

a b c (Å): 7.310 7.310 7.310
angles (deg): 151.81 151.81 40.30
Sites, in units of the cell vectors:
Ac: 0.000 0.000 0.000
Tb: 0.250 0.250 0.000
Ru: 0.639 0.639 0.000

Output
The space-group type is I4mm. For the formation enthalpy at 0 K, the calculation gives -0.13 eV per atom. As for the total DFT energy (no corrections): -6.139 eV per atom. The value obtained for the total magnetization is 0.000 μB per formula unit. As for the density of states at the Fermi level: 1.93 states/eV/f.u.

=====

5.
La2AgIr: relaxed, PBE-GGA.

a b c (Å): 3.656 3.638 7.718
angles (deg): 90.00 90.07 90.00
Sites, in units of the cell vectors:
La: 0.001 0.000 0.279
La: 0.999 0.000 0.721
Ag: 0.500 0.500 0.000
Ir: 0.500 0.500 0.500

Output
The space-group type is P2/m. For the formation enthalpy at 0 K, the calculation gives -0.48 eV per atom. As for the total DFT energy (no corrections): -5.876 eV per atom. The value obtained for the total magnetization is 0.000 μB per formula unit. As for the density of states at the Fermi level: 3.69 states/eV/f.u.

=====

6.
La2ZnHgN: relaxed, PBE-GGA.

a b c (Å): 5.166 5.166 4.283
angles (deg): 90.00 90.00 90.00
Sites, in units of the cell vectors:
La: 0.000 0.500 0.000
La: 0.500 0.000 0.000
Zn: 0.000 0.000 0.500
Hg: 0.500 0.500 0.500
N: 0.000 0.000 0.000

Output
The space-group type is P4/mmm. As for the total DFT energy (no corrections): -4.538 eV per atom. The value obtained for the total magnetization is 0.000 μB per formula unit. As for the density of states at the Fermi level: 3.62 states/eV/f.u.

=====

7.
LaSbW2: relaxed, PBE-GGA.

a b c (Å): 5.916 5.916 3.005
angles (deg): 104.55 104.55 115.92
Sites, in units of the cell vectors:
La: 0.000 0.000 0.000
Sb: 0.500 0.500 0.000
W: 0.000 0.500 0.000
W: 0.500 0.000 0.000

Output
The space-group type is C2/m. As for the total DFT energy (no corrections): -7.960 eV per atom. The value obtained for the total magnetization is 0.000 μB per formula unit. As for the density of states at the Fermi level: 4.63 states/eV/f.u.

=====

8.
Ce9YO20: relaxed, PBE-GGA.

a b c (Å): 6.688 7.721 8.631
angles (deg): 102.92 97.42 106.78
Sites, in units of the cell vectors:
Ce: 0.000 0.000 0.000
Ce: 0.199 0.899 0.398
Ce: 0.200 0.400 0.398
Ce: 0.397 0.799 0.801
Ce: 0.400 0.301 0.801
Ce: 0.600 0.699 0.199
Ce: 0.603 0.201 0.199
Ce: 0.800 0.600 0.602
Ce: 0.801 0.101 0.602
Y: 0.000 0.500 0.000
O: 0.050 0.222 0.848
O: 0.050 0.727 0.849
O: 0.149 0.674 0.549
O: 0.150 0.175 0.549
O: 0.252 0.125 0.249
O: 0.253 0.626 0.252
O: 0.351 0.075 0.950
O: 0.353 0.576 0.949
O: 0.448 0.024 0.650
O: 0.449 0.525 0.649
O: 0.551 0.475 0.351
O: 0.552 0.976 0.350
O: 0.647 0.424 0.051
O: 0.649 0.925 0.050
O: 0.747 0.374 0.748
O: 0.748 0.875 0.751
O: 0.850 0.825 0.451
O: 0.851 0.326 0.451
O: 0.950 0.273 0.151
O: 0.950 0.778 0.152

Output
The space-group type is P-1. As for the total DFT energy (no corrections): -8.683 eV per atom. The value obtained for the total magnetization is 0.000 μB per formula unit. As for the density of states at the Fermi level: 29.57 states/eV/f.u.